i:
KMgFe: relaxed, PBE-GGA.

a = 7.2605 Å, b = 7.2605 Å, c = 7.2605 Å
α = 90.00°, β = 90.00°, γ = 90.00°
Space group F-43m (No. 216)
Asymmetric unit:
K1 0.0000 0.0000 0.0000 [4 per cell]
Mg1 0.0000 0.0000 0.5000 [4 per cell]
Fe1 0.2500 0.2500 0.2500 [4 per cell]

Summary:
Total moment, μB per formula unit: 2.72
Volume, Å³ per cell: 382.7
D(E_F), states/eV/atom: 1.983

---

ii:
KMgFe: relaxed, PBE-GGA.

a = 3.2604 Å, b = 3.2604 Å, c = 14.5843 Å
α = 90.00°, β = 90.00°, γ = 90.00°
Space group I4mm (No. 107)
Asymmetric unit:
K1 0.0000 0.0000 0.0000 [2 per cell]
Mg1 0.0000 0.0000 0.2806 [2 per cell]
Fe1 0.0000 0.0000 0.6809 [2 per cell]

Summary:
Total moment, μB per formula unit: 2.78
Volume, Å³ per cell: 155.0
D(E_F), states/eV/atom: 0.575

---

Which of them is most stable? Easy: ii.